Compound: Nb2VFeF
Source: Alexandria via LeMat-Bulk
Functional: PBE+U
Structure: optimized geometry

Computed properties:
space-group type = P4/mmm, No. 123
volume = 15.73 Å³ per atom
uncorrected energy = -6.601 eV per atom

```
data_Nb2VFeF
_chemical_formula_sum 'Nb2 V1 Fe1 F1'
_cell_length_a 4.420
_cell_length_b 4.026
_cell_length_c 4.420
_cell_angle_alpha 90.00
_cell_angle_beta 90.00
_cell_angle_gamma 90.00
_space_group_name_H-M_alt 'P 1'
_space_group_IT_number 1
_space_group_name_Hall 'P 1'
loop_
_atom_site_label
_atom_site_fract_x
_atom_site_fract_y
_atom_site_fract_z
Nb1 0.500 0.000 0.000
Fe1 0.500 0.500 0.500
Nb2 0.000 0.000 0.500
V1 0.000 0.500 0.000
F1 0.000 0.000 0.000
```